Version 1
DFT (SCAN) results for a crystal of AlTePb2 relaxed with PBEsol.

Cell: 3.3947 3.3947 9.2422 Å, 90.00 90.00 90.00°
Fractional positions:
Al1 0.0000 0.0000 0.0000
Te1 0.0000 0.0000 0.5000
Pb1 0.5000 0.5000 0.2192
Pb2 0.5000 0.5000 0.7808

Crystal system: tetragonal
Density of states at the Fermi level (states/eV/f.u.): 2.10
Total magnetization (μB per cell): 0.0



Version 2
DFT (SCAN) results for a crystal of AlTePb2 relaxed with PBEsol.

Cell: 3.8812 5.2664 5.2815 Å, 90.00 90.00 90.00°
Fractional positions:
Al1 0.0000 0.0000 0.0000
Te1 0.5000 0.0000 0.5000
Pb1 0.0000 0.5000 0.5000
Pb2 0.5000 0.5000 0.0000

Crystal system: orthorhombic
Density of states at the Fermi level (states/eV/f.u.): 1.83
Total magnetization (μB per cell): 0.0



Version 3
DFT (SCAN) results for a crystal of AlTePb2 relaxed with PBEsol.

Cell: 3.6290 3.6290 8.0807 Å, 90.00 90.00 90.00°
Fractional positions:
Al1 0.0000 0.0000 0.0000
Te1 0.5000 0.5000 0.8341
Pb1 0.0000 0.0000 0.5449
Pb2 0.5000 0.5000 0.2549

Crystal system: tetragonal
Density of states at the Fermi level (states/eV/f.u.): 2.05
Total magnetization (μB per cell): 0.0



Version 4
DFT (SCAN) results for a crystal of AlTePb2 relaxed with PBEsol.

Cell: 5.3268 5.3268 3.8125 Å, 90.00 90.00 90.00°
Fractional positions:
Al1 0.0000 0.0000 0.0000
Te1 0.5000 0.5000 0.0000
Pb1 0.0000 0.5000 0.5000
Pb2 0.5000 0.0000 0.5000

Crystal system: tetragonal
Density of states at the Fermi level (states/eV/f.u.): 1.41
Total magnetization (μB per cell): 0.0



So which one wins? Going from most stable to least: version 3, version 4, version 1, version 2.



Version 1
DFT (SCAN) results for a crystal of Al2TePb relaxed with PBEsol.

Cell: 5.1650 5.1650 5.1650 Å, 60.00 60.00 60.00°
Fractional positions:
Al1 0.0000 0.0000 0.0000
Al2 0.2500 0.2500 0.2500
Te1 0.5000 0.5000 0.5000
Pb1 0.7500 0.7500 0.7500

Crystal system: cubic
Density of states at the Fermi level (states/eV/f.u.): 2.92
Total magnetization (μB per cell): 0.0



Version 2
DFT (SCAN) results for a crystal of Al2TePb relaxed with PBEsol.

Cell: 3.1385 3.1385 9.6146 Å, 90.00 90.00 90.00°
Fractional positions:
Al1 0.0000 0.0000 0.0000
Al2 0.5000 0.5000 0.1840
Te1 0.5000 0.5000 0.7643
Pb1 0.0000 0.0000 0.4220

Crystal system: tetragonal
Density of states at the Fermi level (states/eV/f.u.): 2.08
Total magnetization (μB per cell): 0.0



So which one wins? Going from most stable to least: version 2, version 1.



Version 1
DFT (SCAN) results for a crystal of AlTePb3 relaxed with PBEsol.

Cell: 5.3841 5.3841 5.3841 Å, 90.00 90.00 90.00°
Fractional positions:
Al1 0.0000 0.0000 0.0000
Te1 0.5000 0.5000 0.5000
Pb1 0.0000 0.0000 0.5000
Pb2 0.0000 0.5000 0.0000
Pb3 0.5000 0.0000 0.0000

Crystal system: cubic
Density of states at the Fermi level (states/eV/f.u.): 2.68
Total magnetization (μB per cell): 0.0



Version 2
DFT (SCAN) results for a crystal of AlTePb3 relaxed with PBEsol.

Cell: 5.8740 5.8740 5.8740 Å, 90.00 90.00 90.00°
Fractional positions:
Al1 0.0000 0.0000 0.0000
Te1 0.5000 0.5000 0.5000
Pb1 0.0000 0.5000 0.5000
Pb2 0.5000 0.0000 0.5000
Pb3 0.5000 0.5000 0.0000

Crystal system: cubic
Density of states at the Fermi level (states/eV/f.u.): 4.70
Total magnetization (μB per cell): 0.0



So which one wins? Going from most stable to least: version 1, version 2.



Version 1
DFT (SCAN) results for a crystal of Al2TlPb relaxed with PBEsol.

Cell: 3.2521 4.4780 6.4829 Å, 90.00 93.80 90.00°
Fractional positions:
Al1 0.0009 0.0000 0.2632
Al2 0.9991 0.0000 0.7368
Tl1 0.5000 0.5000 0.5000
Pb1 0.5000 0.5000 0.0000

Crystal system: monoclinic
Density of states at the Fermi level (states/eV/f.u.): 1.86
Total magnetization (μB per cell): 0.0



Version 2
DFT (SCAN) results for a crystal of Al2TlPb relaxed with PBEsol.

Cell: 10.4114 10.4114 10.4114 Å, 18.04 18.04 18.04°
Fractional positions:
Al1 0.2479 0.2479 0.2479
Al2 0.7521 0.7521 0.7521
Tl1 0.5000 0.5000 0.5000
Pb1 0.0000 0.0000 0.0000

Crystal system: trigonal
Density of states at the Fermi level (states/eV/f.u.): 1.56
Total magnetization (μB per cell): 0.0



So which one wins? Going from most stable to least: version 2, version 1.